No. 1
VASP calculation (GGA-PBE) on YWN3 after structural relaxation.

The structure in POSCAR format:
```
YWN3
1.0
-4.239 3.881 3.725
-3.172 -1.090 -0.864
0.187 -4.094 4.478
Y W N
2 2 6
direct
0.381 0.447 0.518
0.640 0.817 0.018
0.152 0.061 0.018
0.870 0.203 0.518
0.331 0.972 0.250
0.691 0.292 0.750
0.017 0.629 0.018
0.691 0.292 0.286
0.004 0.635 0.518
0.331 0.972 0.786
```

Summary:
E, eV per atom: -9.8552
N(E_F), states/eV/atom: 0.0000
Mass density, Mg/m³: 7.503

***

No. 2
VASP calculation (GGA-PBE) on La4PtAuI2 after structural relaxation.

The structure in POSCAR format:
```
La4PtAuI2
1.0
-4.172 1.210 -0.911
-2.625 -3.562 7.290
0.378 5.293 5.294
La Pt Au I
4 1 1 2
direct
0.000 0.695 0.772
0.000 0.305 0.228
0.500 0.696 0.252
0.500 0.304 0.748
0.500 0.500 0.000
0.000 0.500 0.500
0.000 0.000 0.000
0.500 0.000 0.500
```

Summary:
E, eV per atom: -5.0781
N(E_F), states/eV/atom: 0.9492
Mass density, Mg/m³: 7.355

***

No. 3
VASP calculation (GGA-PBE) on Pr6Nd2YMg after structural relaxation.

The structure in POSCAR format:
```
Pr6Nd2YMg
1.0
-6.260 -6.632 -3.408
0.470 -3.697 8.162
-5.712 6.847 -1.000
Pr Nd Y Mg
12 4 2 2
direct
0.050 0.127 0.761
0.450 0.239 0.873
0.950 0.873 0.239
0.550 0.761 0.127
0.303 0.001 0.429
0.197 0.571 0.999
0.697 0.999 0.571
0.803 0.429 0.001
0.112 0.708 0.505
0.388 0.495 0.292
0.888 0.292 0.495
0.612 0.505 0.708
0.450 0.798 0.698
0.050 0.302 0.202
0.550 0.202 0.302
0.950 0.698 0.798
0.250 0.982 0.018
0.750 0.018 0.982
0.250 0.410 0.590
0.750 0.590 0.410
```

Summary:
N(E_F), states/eV/atom: 1.3723
ΔH_f (0 K), eV/atom: 0.103
Mass density, Mg/m³: 5.970

***

No. 4
VASP calculation (GGA-PBE) on TlGa after structural relaxation.

The structure in POSCAR format:
```
TlGa
1.0
8.809 0.000 0.000
0.000 8.809 0.000
0.000 0.000 8.809
Tl Ga
8 8
direct
0.300 0.300 0.300
0.300 0.700 0.700
0.700 0.300 0.700
0.700 0.700 0.300
0.800 0.800 0.800
0.800 0.200 0.200
0.200 0.800 0.200
0.200 0.200 0.800
0.115 0.115 0.115
0.115 0.885 0.885
0.885 0.115 0.885
0.885 0.885 0.115
0.615 0.615 0.615
0.615 0.385 0.385
0.385 0.615 0.385
0.385 0.385 0.615
```

Summary:
N(E_F), states/eV/atom: 0.5655
ΔH_f (0 K), eV/atom: 0.335
Mass density, Mg/m³: 5.327

***

No. 5
VASP calculation (GGA-PBE) on ScBe2 after structural relaxation.

The structure in POSCAR format:
```
ScBe2
1.0
5.906 0.000 0.000
0.000 5.906 0.000
0.000 0.000 5.906
Sc Be
4 8
direct
0.000 0.000 0.000
0.500 0.500 0.000
0.500 0.000 0.500
0.000 0.500 0.500
0.596 0.596 0.404
0.404 0.404 0.596
0.096 0.904 0.596
0.904 0.096 0.404
0.404 0.096 0.096
0.596 0.904 0.904
0.904 0.404 0.904
0.096 0.596 0.096
```

Summary:
N(E_F), states/eV/atom: 1.0415
ΔH_f (0 K), eV/atom: 1.116
Mass density, Mg/m³: 2.031

***

No. 6
VASP calculation (GGA-PBE) on AlGa2HgSe6 after structural relaxation.

The structure in POSCAR format:
```
AlGa2HgSe6
1.0
-2.591 -6.087 -2.263
7.232 -5.193 -2.931
-1.064 -5.535 7.489
Al Ga Hg Se
2 4 2 12
direct
0.250 0.170 0.830
0.750 0.830 0.170
0.313 0.771 0.606
0.187 0.394 0.229
0.687 0.229 0.394
0.813 0.606 0.771
0.250 0.804 0.196
0.750 0.196 0.804
0.117 0.959 0.820
0.383 0.180 0.041
0.883 0.041 0.180
0.617 0.820 0.959
0.418 0.901 0.379
0.082 0.621 0.099
0.582 0.099 0.621
0.918 0.379 0.901
0.058 0.664 0.550
0.442 0.450 0.336
0.942 0.336 0.450
0.558 0.550 0.664
```

Summary:
E, eV per atom: -3.5263
N(E_F), states/eV/atom: 0.2217
Mass density, Mg/m³: 5.018

***

No. 7
VASP calculation (GGA-PBE) on YZr2PPt after structural relaxation.

The structure in POSCAR format:
```
YZr2PPt
1.0
5.307 0.000 0.000
0.000 4.826 0.000
0.000 0.000 5.307
Y P Zr Pt
1 1 2 1
direct
0.000 0.000 0.000
0.500 0.500 0.500
0.000 0.000 0.500
0.500 0.000 0.000
0.000 0.500 0.000
```

Summary:
N(E_F), states/eV/atom: 1.2585
ΔH_f (0 K), eV/atom: 1.378
Mass density, Mg/m³: 6.077

***

No. 8
VASP calculation (GGA-PBE) on Er4FeTe after structural relaxation.

The structure in POSCAR format:
```
Er4FeTe
1.0
3.917 0.000 0.000
0.000 8.055 0.000
0.000 0.000 19.140
Er Fe Te
16 4 4
direct
0.750 0.863 0.643
0.250 0.137 0.357
0.250 0.637 0.143
0.750 0.363 0.857
0.750 0.857 0.456
0.250 0.143 0.544
0.250 0.643 0.956
0.750 0.357 0.044
0.750 0.008 0.933
0.250 0.992 0.067
0.250 0.492 0.433
0.750 0.508 0.567
0.750 0.951 0.214
0.250 0.049 0.786
0.250 0.549 0.714
0.750 0.451 0.286
0.750 0.246 0.448
0.250 0.754 0.552
0.250 0.254 0.948
0.750 0.746 0.052
0.750 0.746 0.810
0.250 0.254 0.190
0.250 0.754 0.310
0.750 0.246 0.690
```

Summary:
N(E_F), states/eV/atom: 0.9629
Relative energy among the computed polymorphs, eV per atom: 0.000
Mass density, Mg/m³: 9.376